1.
The following is a DFT calculation (PBE) of a geometry-optimized Ac3Ag2Hg7 structure.

a = 4.527 Å, b = 4.983 Å, c = 15.287 Å
α = 99.55°, β = 90.00°, γ = 90.00°
Fractional coordinates of all 12 atoms:
Hg 0.500 0.916 0.837
Hg 0.500 0.273 0.545
Ac 0.000 0.176 0.350
Hg 0.000 0.418 0.837
Ag 0.500 0.360 0.727
Hg 0.000 0.582 0.163
Ac 0.000 0.824 0.650
Ag 0.500 0.640 0.273
Hg 0.500 0.084 0.163
Hg 0.500 0.727 0.455
Hg 0.000 0.000 0.000
Ac 0.500 0.500 0.000

## Properties
The value obtained for the calculated total energy is -1.989 eV per atom. Its total moment is 0.00 μB/cell. As for the symmetry: P2/m (10). The value obtained for the volume is 28.34 A^3/atom. Its formation energy from the elements is -0.311 eV/atom.

***

2.
The following is a DFT calculation (PBE) of a geometry-optimized AcAgHg structure.

a = 4.070 Å, b = 4.070 Å, c = 5.900 Å
α = 110.17°, β = 110.17°, γ = 90.00°
Fractional coordinates of all 3 atoms:
Ac 0.948 0.948 0.897
Hg 0.628 0.628 0.256
Ag 0.273 0.273 0.547

## Properties
The value obtained for the calculated total energy is -2.720 eV per atom. Its total moment is 0.00 μB/cell. As for the symmetry: I4mm (107). The value obtained for the volume is 28.44 A^3/atom. For the distance to the lowest polymorph of the same formula, the calculation gives 109 meV/atom. Its formation energy from the elements is -0.299 eV/atom.

***

- The highest calculated total energy belongs to which entry?
  Ac3Ag2Hg7

***

- Which formula does entry 2 have?
  AcAgHg

***

- Which formula does entry 1 have?
  Ac3Ag2Hg7